The following is a PBE calculation of a geometry-optimized SrTe2S structure, from the Alexandria database.

POSCAR file:
```
SrTe2S
1.0
2.682 1.548 7.585
-2.682 1.548 7.585
0.000 -3.097 7.585
Sr Te S
1 2 1
direct
0.000 0.000 0.000
0.389 0.389 0.389
0.611 0.611 0.611
0.500 0.500 0.500
```

Summary:
formation energy (no corrections): -1.5 eV per formula unit
space group: R-3m (166)